(1)
# Li2MnCdCo (SCAN, single point on PBEsol structure)
# Crystal system   tetragonal
# ΔH_f (0 K)   2.99 eV per formula unit
# Symmetry   P4/mmm
data_Li2MnCdCo
_space_group_name_H-M_alt 'P 1'
_space_group_IT_number 1
_cell_length_a 4.2943
_cell_length_b 4.2943
_cell_length_c 4.8386
_cell_angle_alpha 90.00
_cell_angle_beta 90.00
_cell_angle_gamma 90.00
loop_
_space_group_symop_operation_xyz
'x,y,z'
loop_
_atom_site_label
_atom_site_fract_x
_atom_site_fract_y
_atom_site_fract_z
Li1 0.0000 0.5000 0.0000
Li2 0.5000 0.0000 0.0000
Mn1 0.0000 0.0000 0.5000
Cd1 0.5000 0.5000 0.5000
Co1 0.5000 0.5000 0.0000

(2)
# NaBi2Au (SCAN, single point on PBEsol structure)
# Crystal system   tetragonal
# ΔH_f (0 K)   -0.82 eV per formula unit
# Symmetry   I-42d
data_NaBi2Au
_space_group_name_H-M_alt 'P 1'
_space_group_IT_number 1
_cell_length_a 6.9677
_cell_length_b 6.9677
_cell_length_c 6.9677
_cell_angle_alpha 99.95
_cell_angle_beta 99.95
_cell_angle_gamma 130.89
loop_
_space_group_symop_operation_xyz
'x,y,z'
loop_
_atom_site_label
_atom_site_fract_x
_atom_site_fract_y
_atom_site_fract_z
Na1 0.0000 0.0000 0.0000
Na2 0.7500 0.2500 0.5000
Bi1 0.2056 0.1250 0.5806
Bi2 0.3750 0.7944 0.9194
Bi3 0.5444 0.6250 0.4194
Bi4 0.8750 0.4556 0.0806
Au1 0.2500 0.7500 0.5000
Au2 0.5000 0.5000 0.0000

(3)
# La3InI (SCAN, single point on PBEsol structure)
# ΔE_f (raw)   -7.3 kJ per mole of atoms
# Crystal system   cubic
# Symmetry   Pm-3m
data_La3InI
_space_group_name_H-M_alt 'P 1'
_space_group_IT_number 1
_cell_length_a 5.9661
_cell_length_b 5.9661
_cell_length_c 5.9661
_cell_angle_alpha 90.00
_cell_angle_beta 90.00
_cell_angle_gamma 90.00
loop_
_space_group_symop_operation_xyz
'x,y,z'
loop_
_atom_site_label
_atom_site_fract_x
_atom_site_fract_y
_atom_site_fract_z
La1 0.0000 0.0000 0.5000
La2 0.0000 0.5000 0.0000
La3 0.5000 0.0000 0.0000
In1 0.0000 0.0000 0.0000
I1 0.5000 0.5000 0.5000

no.,magnetization (μB/cell),DOS(E_F) (states/eV/cell),E_tot (eV per atom)
1,6.0,2.86,-13.55
2,0.0,3.95,-57.84
3,2.4,5.41,-39.96